DFT (PBE) results for an optimized crystal structure of Na3MgIn3Br8.

Cell: 8.645 8.649 9.197 Å, 118.09 90.00 119.99°
Atoms (fractional coordinates):
Na1 0.500 0.000 0.500
Na2 0.000 0.500 0.500
Na3 0.500 0.500 0.500
In1 0.000 0.500 0.000
In2 0.500 0.500 0.000
In3 0.000 0.000 0.000
Br1 0.261 0.522 0.284
Br2 0.236 0.018 0.300
Br3 0.764 0.982 0.700
Br4 0.782 0.565 0.300
Br5 0.739 0.478 0.716
Br6 0.218 0.435 0.700
Br7 0.782 0.018 0.300
Br8 0.218 0.982 0.700
Mg1 0.000 0.000 0.500

Results
- Space group: R-3m, No. 166
- Energy relative to the elements, uncorrected: -1168 meV/atom

DFT (PBE) results for an optimized crystal structure of Sr2CaCdF.

Cell: 7.067 5.595 7.067 Å, 90.00 90.00 90.00°
Atoms (fractional coordinates):
Cd1 0.000 0.500 0.000
F1 0.500 0.500 0.500
Sr1 0.000 0.000 0.500
Sr2 0.500 0.000 0.000
Ca1 0.000 0.000 0.000

Results
- Space group: P4/mmm, No. 123
- Energy relative to the elements, uncorrected: 64 meV/atom
- E above lowest polymorph: 6.11 eV/f.u.

Question: What is the energy relative to the elements, uncorrected in the first record?
Answer: -1168 meV/atom